The following is a PBE calculation of a relaxed structure of Pr2AlSn3Pd4, from Alexandria.

For the total moment, the calculation gives 0.0 μB per formula unit. The uncorrected energy comes out at -5.41 eV per atom.

The structure belongs to space group P-4m2 (No. 115); the cell edges are 4.5308, 4.5308 and 10.7192 Å and the angles 90.00°, 90.00° and 90.00°. Symmetry generates all atoms from Pr at (0.0000, 0.5000, 0.2500), Al at (0.0000, 0.0000, 0.5000), Sn at (0.0000, 0.5000, 0.8679), Sn at (0.5000, 0.5000, 0.5000), Pd at (0.0000, 0.0000, 0.0000), Pd at (0.0000, 0.5000, 0.6237) and Pd at (0.5000, 0.5000, 0.0000).